# 1
Here is YAsSe4 after structural relaxation from the Alexandria database. Energies are from PBE.

POSCAR file:
```
YAsSe4
1.0
0.000 4.033 4.033
4.033 0.000 4.033
4.033 4.033 0.000
Y As Se
1 1 4
Cartesian
0.000 0.000 0.000
6.050 6.050 6.050
3.023 3.023 3.023
5.044 5.044 3.023
5.044 3.023 5.044
3.023 5.044 5.044
```

Results
M_tot, μB per atom: 0.00
ΔE_f (raw), meV/atom: 63

=====

# 2
Here is Y8As3Se4 after structural relaxation from the Alexandria database. Energies are from PBE.

POSCAR file:
```
Y8As3Se4
1.0
5.748 -5.762 0.000
5.748 5.762 0.000
-5.735 0.000 5.769
Y As Se
8 3 4
Cartesian
-0.035 0.000 2.852
5.748 2.928 0.000
2.836 0.000 0.005
2.881 2.896 2.885
2.881 -2.896 2.885
2.925 0.000 5.764
5.748 -2.928 0.000
5.796 0.000 2.917
0.000 0.000 0.000
0.007 2.881 2.885
0.007 -2.881 2.885
2.874 2.881 0.000
2.874 -2.881 0.000
5.748 0.000 0.000
2.881 0.000 2.885
```

Results
M_tot, μB per atom: 0.00
ΔE_f (raw), meV/atom: -1592

=====

# 3
Here is YAsSe2 after structural relaxation from the Alexandria database. Energies are from PBE.

POSCAR file:
```
YAsSe2
1.0
2.155 1.244 7.221
-2.155 1.244 7.221
0.000 -2.489 7.221
Y As Se
1 1 2
Cartesian
0.000 0.000 0.000
0.000 0.000 5.214
0.000 0.000 11.833
0.000 0.000 15.769
```

Results
M_tot, μB per atom: 0.00
ΔE_f (raw), meV/atom: -774

=====

# 4
Here is YAsSe2 after structural relaxation from the Alexandria database. Energies are from PBE.

POSCAR file:
```
YAsSe2
1.0
3.918 0.000 0.000
0.000 3.700 0.000
-1.480 0.000 6.268
Y As Se
1 1 2
Cartesian
0.000 0.000 0.000
-0.740 0.000 3.134
0.351 1.850 4.743
2.088 1.850 1.526
```

Results
M_tot, μB per atom: 0.00
ΔE_f (raw), meV/atom: -850

=====

# 5
Here is YAsSe2 after structural relaxation from the Alexandria database. Energies are from PBE.

POSCAR file:
```
YAsSe2
1.0
1.994 1.151 8.554
-1.994 1.151 8.554
0.000 -2.302 8.554
Y As Se
1 1 2
Cartesian
0.000 0.000 0.000
0.000 0.000 12.831
0.000 0.000 10.218
0.000 0.000 15.444
```

Results
M_tot, μB per atom: 0.00
ΔE_f (raw), meV/atom: -811

=====

# 6
Here is Y3As5Se12 after structural relaxation from the Alexandria database. Energies are from PBE.

POSCAR file:
```
Y3As5Se12
1.0
-8.154 8.154 8.154
8.154 -8.154 8.154
8.154 8.154 -8.154
Y As Se
12 20 48
Cartesian
4.077 2.039 0.000
8.154 4.077 -2.039
2.039 0.000 4.077
10.193 0.000 4.077
0.000 4.077 2.039
4.077 -2.039 8.154
4.077 10.193 0.000
8.154 4.077 6.116
-2.039 8.154 4.077
6.116 8.154 4.077
0.000 4.077 10.193
4.077 6.116 8.154
0.000 0.000 0.000
4.077 4.077 -4.077
4.077 -4.077 4.077
8.154 0.000 0.000
12.231 2.039 0.000
8.154 -4.077 6.116
6.116 8.154 -4.077
6.116 0.000 4.077
4.077 6.116 0.000
8.154 4.077 2.039
-4.077 4.077 4.077
0.000 8.154 0.000
0.000 0.000 8.154
4.077 4.077 4.077
0.000 4.077 6.116
4.077 2.039 8.154
2.039 8.154 4.077
2.039 0.000 12.231
0.000 12.231 2.039
-4.077 6.116 8.154
2.474 -0.315 1.039
9.757 5.116 -4.392
10.628 0.315 1.039
9.757 -3.038 4.392
7.839 -1.039 2.474
12.546 -1.603 3.038
1.039 2.474 -0.315
11.192 3.762 -1.603
5.116 4.392 -1.603
7.115 2.474 0.315
-0.315 1.039 2.474
4.392 -1.603 5.116
7.839 7.115 -2.474
4.392 1.603 3.038
5.116 -4.392 9.757
7.115 -2.474 7.839
3.038 4.392 1.603
9.193 5.680 0.315
4.392 9.757 -3.038
7.839 1.039 5.680
2.474 7.839 -1.039
9.757 3.038 3.762
1.603 3.038 4.392
2.474 0.315 7.115
5.680 7.839 1.039
6.551 5.116 3.762
-1.603 5.116 4.392
5.680 0.315 9.193
0.315 7.115 2.474
3.762 -1.603 11.192
-1.039 2.474 7.839
5.116 3.762 6.551
1.039 10.628 0.315
3.038 12.546 -1.603
3.762 6.551 5.116
0.315 1.039 10.628
3.762 9.757 3.038
8.469 7.115 5.680
1.039 5.680 7.839
3.038 3.762 9.757
-3.038 4.392 9.757
7.115 5.680 8.469
-4.392 9.757 5.116
0.315 9.193 5.680
-1.603 11.192 3.762
-2.474 7.839 7.115
-1.603 3.038 12.546
5.680 8.469 7.115
```

Results
M_tot, μB per atom: 0.00
ΔE_f (raw), meV/atom: -639